# BeMo2RuF

An optimized crystal structure of BeMo2RuF (GGA+U, the Alexandria database).

Lattice parameters (Å, degrees): 4.8032 3.0190 4.8032 90.00 90.00 90.00
With the nearest neighbours (Å) after each atom.
Fractional coordinates of all 5 atoms:
F  0.0000  0.5000  0.0000  2 Be 1.51
Ru  0.5000  0.5000  0.5000  8 Mo 2.84, 2 Ru 3.02
Be  0.0000  0.0000  0.0000  2 F 1.51
Mo  0.5000  0.0000  0.0000  2 Be 2.40
Mo  0.0000  0.0000  0.5000  2 Be 2.40

Summary:
D(E_F) (states/eV/atom): 0.54
E_tot (eV per cell): -25.13
Total moment (μB per cell): 1.19
Space group: P4/mmm (123)


# BeSnMoF2

An optimized crystal structure of BeSnMoF2 (GGA+U, the Alexandria database).

Lattice parameters (Å, degrees): 4.0993 6.0737 4.0993 90.00 90.00 90.00
With the nearest neighbours (Å) after each atom.
Fractional coordinates of all 5 atoms:
Sn  0.0000  0.5000  0.0000  4 Be 2.90, 2 Mo 3.04
F  0.5000  0.0000  0.0000  2 Mo 2.05
F  0.0000  0.0000  0.5000  2 Mo 2.05
Mo  0.0000  0.0000  0.0000  4 F 2.05
Be  0.5000  0.5000  0.5000  4 Sn 2.90

Summary:
D(E_F) (states/eV/atom): 0.34
E_tot (eV per cell): -22.22
Total moment (μB per cell): 2.92
Space group: P4/mmm (123)


# TaBeMoF2

An optimized crystal structure of TaBeMoF2 (GGA+U, the Alexandria database).

Lattice parameters (Å, degrees): 3.5116 7.8165 3.5116 90.00 90.00 90.00
With the nearest neighbours (Å) after each atom.
Fractional coordinates of all 5 atoms:
Mo  0.5000  0.5000  0.5000  4 Ta 2.48
Be  0.0000  0.0000  0.0000  4 F 1.76
F  0.0000  0.0000  0.5000  2 Be 1.76
F  0.5000  0.0000  0.0000  2 Be 1.76
Ta  0.0000  0.5000  0.0000  4 Mo 2.48

Summary:
D(E_F) (states/eV/atom): 0.45
E_tot (eV per cell): -27.82
Total moment (μB per cell): 0.90
Space group: P4/mmm (123)


# ZrBeMo2F

An optimized crystal structure of ZrBeMo2F (GGA+U, the Alexandria database).

Lattice parameters (Å, degrees): 4.8756 4.8756 3.3396 90.00 90.00 90.00
With the nearest neighbours (Å) after each atom.
Fractional coordinates of all 5 atoms:
Mo  0.0000  0.5000  0.0000  2 Be 2.44
Mo  0.5000  0.0000  0.0000  2 Be 2.44
F  0.0000  0.0000  0.5000  2 Be 1.67
Zr  0.5000  0.5000  0.5000  8 Mo 2.95
Be  0.0000  0.0000  0.0000  2 F 1.67

Summary:
D(E_F) (states/eV/atom): 0.44
E_tot (eV per cell): -24.99
Total moment (μB per cell): 1.12
Space group: P4/mmm (123)


- What is the D(E_F) in the third record?
  0.45 states/eV/atom


Copy entry 1 word for word.
# BeMo2RuF

An optimized crystal structure of BeMo2RuF (GGA+U, the Alexandria database).

Lattice parameters (Å, degrees): 4.8032 3.0190 4.8032 90.00 90.00 90.00
With the nearest neighbours (Å) after each atom.
Fractional coordinates of all 5 atoms:
F  0.0000  0.5000  0.0000  2 Be 1.51
Ru  0.5000  0.5000  0.5000  8 Mo 2.84, 2 Ru 3.02
Be  0.0000  0.0000  0.0000  2 F 1.51
Mo  0.5000  0.0000  0.0000  2 Be 2.40
Mo  0.0000  0.0000  0.5000  2 Be 2.40

Summary:
D(E_F) (states/eV/atom): 0.54
E_tot (eV per cell): -25.13
Total moment (μB per cell): 1.19
Space group: P4/mmm (123)


- Which of these has the lowest total moment?
  TaBeMoF2